[1]
# K2Hg4BiAu3

K2Hg4BiAu3 after structural relaxation (PBE, Alexandria via LeMat-Bulk).

a b c (Å): 4.6215 4.6215 13.1594
angles (deg): 90.00 90.00 90.00
Closest atoms and distances in Å follow each position.
Atoms (fractional coordinates):
K: 0.0000 0.5000 0.2356  4 Au 3.51, 8 Hg 3.58-3.87
K: 0.5000 0.0000 0.7644  4 Au 3.51, 8 Hg 3.58-3.87
Hg: 0.0000 0.0000 0.0000  4 Au 2.93, 4 Hg 3.27
Hg: 0.0000 0.5000 0.6534  3 Au 2.75-3.07, 2 Bi 3.07
Hg: 0.5000 0.0000 0.3466  3 Au 2.75-3.07, 2 Bi 3.07
Hg: 0.5000 0.5000 0.0000  4 Au 2.93, 4 Hg 3.27
Bi: 0.0000 0.0000 0.5000  4 Hg 3.07, 4 Au 3.27
Au: 0.0000 0.5000 0.8627  5 Hg 2.75-2.93
Au: 0.5000 0.0000 0.1373  5 Hg 2.75-2.93
Au: 0.5000 0.5000 0.5000  4 Hg 3.07, 4 Bi 3.27

Results
Spin magnetization: 0.0 Bohr magnetons per cell
Formation energy from the elements: -190 meV/atom

[2]
# CaSc2Al

CaSc2Al after structural relaxation (PBE, Alexandria via LeMat-Bulk).

a b c (Å): 4.5604 4.5604 9.3296
angles (deg): 90.00 90.00 90.00
Closest atoms and distances in Å follow each position.
Atoms (fractional coordinates):
Ca: 0.0000 0.0000 0.0000  8 Sc 3.22-3.26, 4 Al 3.26
Ca: 0.5000 0.5000 0.5000  8 Sc 3.22-3.26, 4 Al 3.26
Sc: 0.0000 0.0000 0.5000  4 Ca 3.22, 4 Al 3.26, 4 Sc 3.26
Sc: 0.0000 0.5000 0.7500  4 Al 3.22, 4 Sc 3.26, 4 Ca 3.26
Sc: 0.5000 0.0000 0.2500  4 Al 3.22, 4 Sc 3.26, 4 Ca 3.26
Sc: 0.5000 0.5000 0.0000  4 Ca 3.22, 4 Al 3.26, 4 Sc 3.26
Al: 0.0000 0.5000 0.2500  8 Sc 3.22-3.26, 4 Ca 3.26
Al: 0.5000 0.0000 0.7500  8 Sc 3.22-3.26, 4 Ca 3.26

Results
Spin magnetization: 0.0 Bohr magnetons per cell
Formation energy from the elements: -9 meV/atom

[3]
# YFeNiGe3

YFeNiGe3 after structural relaxation (PBE, Alexandria via LeMat-Bulk).

a b c (Å): 6.9592 6.9592 5.7629
angles (deg): 90.00 90.00 126.72
Closest atoms and distances in Å follow each position.
Atoms (fractional coordinates):
Y: 0.2018 0.7982 0.7500  2 Ge 2.89, 1 Fe 2.91
Y: 0.7982 0.2018 0.2500  2 Ge 2.89, 1 Fe 2.91
Fe: 0.0322 0.9678 0.2500  5 Ge 2.26-2.34
Fe: 0.9678 0.0322 0.7500  5 Ge 2.26-2.34
Ni: 0.3904 0.6096 0.2500  5 Ge 2.20-2.38
Ni: 0.6096 0.3904 0.7500  5 Ge 2.20-2.38
Ge: 0.2136 0.7864 0.2500  1 Ni 2.20, 1 Fe 2.26
Ge: 0.2881 0.2881 0.0000  2 Fe 2.34, 2 Ni 2.38
Ge: 0.2881 0.2881 0.5000  2 Fe 2.34, 2 Ni 2.38
Ge: 0.7119 0.7119 0.0000  2 Fe 2.34, 2 Ni 2.38
Ge: 0.7119 0.7119 0.5000  2 Fe 2.34, 2 Ni 2.38
Ge: 0.7864 0.2136 0.7500  1 Ni 2.20, 1 Fe 2.26

Results
Spin magnetization: 0.0 Bohr magnetons per cell
Formation energy from the elements: -189 meV/atom

[4]
# Cr2AsRu

Cr2AsRu after structural relaxation (PBE, Alexandria via LeMat-Bulk).

a b c (Å): 2.9543 4.1386 8.4020
angles (deg): 90.00 90.00 90.00
Closest atoms and distances in Å follow each position.
Atoms (fractional coordinates):
Cr: 0.0000 0.0000 0.2362  2 As 2.47, 4 Cr 2.55, 2 Ru 2.66
Cr: 0.0000 0.0000 0.7638  2 As 2.47, 4 Cr 2.55, 2 Ru 2.66
Cr: 0.5000 0.5000 0.2638  2 As 2.47, 4 Cr 2.55, 2 Ru 2.66
Cr: 0.5000 0.5000 0.7362  2 As 2.47, 4 Cr 2.55, 2 Ru 2.66
As: 0.0000 0.5000 0.5000  4 Cr 2.47, 4 Ru 2.54
As: 0.5000 0.0000 0.0000  4 Cr 2.47, 4 Ru 2.54
Ru: 0.0000 0.5000 0.0000  4 As 2.54, 4 Cr 2.66
Ru: 0.5000 0.0000 0.5000  4 As 2.54, 4 Cr 2.66

Results
Spin magnetization: 0.0 Bohr magnetons per cell
Formation energy from the elements: 37 meV/atom

[5]
# Zr2CrCl

Zr2CrCl after structural relaxation (PBE, Alexandria via LeMat-Bulk).

a b c (Å): 3.5704 5.4215 8.2240
angles (deg): 90.00 90.00 90.00
Closest atoms and distances in Å follow each position.
Atoms (fractional coordinates):
Zr: 0.0000 0.0000 0.2388  2 Cl 2.65, 2 Cr 2.79
Zr: 0.0000 0.0000 0.7612  2 Cl 2.65, 2 Cr 2.79
Zr: 0.5000 0.5000 0.2612  2 Cl 2.65, 2 Cr 2.79
Zr: 0.5000 0.5000 0.7388  2 Cl 2.65, 2 Cr 2.79
Cr: 0.0000 0.5000 0.0000  4 Zr 2.79
Cr: 0.5000 0.0000 0.5000  4 Zr 2.79
Cl: 0.0000 0.5000 0.5000  4 Zr 2.65
Cl: 0.5000 0.0000 0.0000  4 Zr 2.65

Results
Spin magnetization: 5.1 Bohr magnetons per cell
Formation energy (no corrections): 4.16 kcal/mol of atoms
Energy relative to the lowest polymorph listed for this composition: 56.1 kJ per mole of atoms

[6]
# Mg2AsIr2

Mg2AsIr2 after structural relaxation (PBE, Alexandria via LeMat-Bulk).

a b c (Å): 6.3649 6.3649 4.2773
angles (deg): 90.00 90.00 90.00
Closest atoms and distances in Å follow each position.
Atoms (fractional coordinates):
Mg: 0.1599 0.3401 0.0000  6 Ir 2.74-2.91, 1 Mg 2.88
Mg: 0.3401 0.8401 0.0000  6 Ir 2.74-2.91, 1 Mg 2.88
Mg: 0.6599 0.1599 0.0000  6 Ir 2.74-2.91, 1 Mg 2.88
Mg: 0.8401 0.6599 0.0000  6 Ir 2.74-2.91, 1 Mg 2.88
As: 0.0000 0.0000 0.5000  4 Ir 2.43
As: 0.5000 0.5000 0.5000  4 Ir 2.43
Ir: 0.1495 0.6495 0.5000  2 As 2.43, 1 Ir 2.69
Ir: 0.3505 0.1495 0.5000  2 As 2.43, 1 Ir 2.69
Ir: 0.6495 0.8505 0.5000  2 As 2.43, 1 Ir 2.69
Ir: 0.8505 0.3505 0.5000  2 As 2.43, 1 Ir 2.69

Results
Spin magnetization: 0.0 Bohr magnetons per cell
Formation energy from the elements: -282 meV/atom